A geometry-optimized CrTcBN2 structure, computed with GGA-PBE.

a = 3.4579 Å, b = 5.4539 Å, c = 3.4579 Å
α = 90.00°, β = 90.00°, γ = 90.00°
Positions (direct):
N  0.5000  0.0000  0.0000
N  0.0000  0.0000  0.5000
B  0.5000  0.5000  0.5000
Cr  0.0000  0.0000  0.0000
Tc  0.0000  0.5000  0.0000

Properties
Space group: P4/mmm
Raw formation energy, meV per atom: 1254.9

---

A geometry-optimized CrBTe2N structure, computed with GGA-PBE.

a = 5.2292 Å, b = 5.2292 Å, c = 3.4989 Å
α = 90.00°, β = 90.00°, γ = 90.00°
Positions (direct):
Cr  0.0000  0.0000  0.0000
Te  0.5000  0.0000  0.0000
Te  0.0000  0.5000  0.0000
B  0.5000  0.5000  0.5000
N  0.0000  0.0000  0.5000

Properties
Space group: P4/mmm
Raw formation energy, meV per atom: 925.4

---

A geometry-optimized Cr2BTeN structure, computed with GGA-PBE.

a = 4.8472 Å, b = 4.2607 Å, c = 4.8472 Å
α = 90.00°, β = 90.00°, γ = 90.00°
Positions (direct):
Cr  0.5000  0.0000  0.0000
Cr  0.0000  0.0000  0.5000
N  0.5000  0.5000  0.5000
Te  0.0000  0.0000  0.0000
B  0.0000  0.5000  0.0000

Properties
Space group: P4/mmm
Raw formation energy, meV per atom: 3014.7

---

A geometry-optimized CrBTe2N structure, computed with GGA-PBE.

a = 5.5343 Å, b = 5.5343 Å, c = 2.8044 Å
α = 90.00°, β = 90.00°, γ = 90.00°
Positions (direct):
Cr  0.5000  0.5000  0.5000
Te  0.0000  0.5000  0.0000
Te  0.5000  0.0000  0.0000
B  0.0000  0.0000  0.0000
N  0.0000  0.0000  0.5000

Properties
Space group: P4/mmm
Raw formation energy, meV per atom: 725.1

---

A geometry-optimized ZrCr2BN structure, computed with GGA-PBE.

a = 3.7139 Å, b = 4.4203 Å, c = 3.7139 Å
α = 90.00°, β = 90.00°, γ = 90.00°
Positions (direct):
Cr  0.0000  0.0000  0.5000
Cr  0.5000  0.0000  0.0000
Zr  0.0000  0.5000  0.0000
B  0.5000  0.5000  0.5000
N  0.0000  0.0000  0.0000

Properties
Space group: P4/mmm
Raw formation energy, meV per atom: -70.3

---

A geometry-optimized NaCrB structure, computed with GGA-PBE.

a = 2.9144 Å, b = 10.4548 Å, c = 2.9134 Å
α = 90.00°, β = 90.00°, γ = 90.00°
Positions (direct):
B  0.0000  0.6096  0.7874
B  0.5000  0.3904  0.2874
Cr  0.0000  0.4103  0.7870
Cr  0.5000  0.5897  0.2870
Na  0.5000  0.1490  0.2540
Na  0.0000  0.8510  0.7540

Properties
Space group: Pmn2_1
E_form, eV/atom: 0.108

---

A geometry-optimized NaCrB2 structure, computed with GGA-PBE.

a = 3.8593 Å, b = 3.8593 Å, c = 3.8593 Å
α = 60.00°, β = 60.00°, γ = 60.00°
Positions (direct):
B  0.2500  0.2500  0.2500
B  0.7500  0.7500  0.7500
Na  0.0000  0.0000  0.0000
Cr  0.5000  0.5000  0.5000

Properties
Space group: Fm-3m
E_form, eV/atom: 1.259

---

A geometry-optimized NaCrB2 structure, computed with GGA-PBE.

a = 3.8913 Å, b = 3.8913 Å, c = 7.8213 Å
α = 75.60°, β = 75.60°, γ = 90.00°
Positions (direct):
B  0.8751  0.6250  0.2500
B  0.3750  0.1251  0.7500
B  0.8750  0.1249  0.7500
B  0.8749  0.1250  0.2500
Cr  0.7500  0.2500  0.5000
Cr  0.0000  0.0000  0.0000
Na  0.5000  0.5000  0.0000
Na  0.2500  0.7500  0.5000

Properties
Space group: I4_1/amd
E_form, eV/atom: 0.909

---

Values of mass density, in order: 4808; 5762; 4253; 6419; 5993; 3210; 3947; 2894, all in kg/m3.
Values of total energy, in order: -0.5445; -0.3863; -0.3281; -0.4011; -0.6343; -0.4237; -0.3539; -0.3796, all in Ry per atom.